Entry from Alexandria via LeMat-Bulk: crystalline Na2VAgBr6 at its relaxed geometry (PBE).

It has space group R3 (No. 146, hexagonal axes), with a = 7.2066 Å, b = 7.2066 Å, c = 18.7361 Å, α = 90.00°, β = 90.00° and γ = 120.00°. The distinct sites, in fractional coordinates, are Na at (0.0000, 0.0000, 0.0000), Na at (0.0000, 0.0000, 0.4864), V at (0.0000, 0.0000, 0.7973), Ag at (0.0000, 0.0000, 0.2853), Br at (0.0239, 0.7248, 0.8798) and Br at (0.0614, 0.3537, 0.3870).

Its electronic total energy is -3.4559 eV/atom. The value obtained for the raw formation energy is -0.99 eV per atom.